AcSi2MoOs PBE-GGA relaxed; space-group type = I-4m2; crystal system = tetragonal; ΔE_f (raw) = -0.443 eV/atom; M_tot = 0.57 μB per cell
1.0
-2.1430 2.1430 5.3132
2.1430 -2.1430 5.3132
2.1430 2.1430 -5.3132
Ac Si Mo Os
1 2 1 1
direct
0.0000 0.0000 0.0000
0.3659 0.3659 0.0000
0.6341 0.6341 0.0000
0.2500 0.7500 0.5000
0.7500 0.2500 0.5000

---

AcMoP3 PBE-GGA relaxed; calculated formation energy = -0.46 eV/atom; space-group type = Pm-3m; crystal system = cubic; M_tot = 0.00 μB per cell
1.0
4.7658 0.0000 0.0000
0.0000 4.7658 0.0000
0.0000 0.0000 4.7658
Ac Mo P
1 1 3
direct
0.0000 0.0000 0.0000
0.5000 0.5000 0.5000
0.0000 0.5000 0.5000
0.5000 0.0000 0.5000
0.5000 0.5000 0.0000

---

AcMoP2Ru PBE-GGA relaxed; calculated formation energy = -0.84 eV/atom; space-group type = I-4m2; crystal system = tetragonal; M_tot = 0.00 μB per cell
1.0
-2.0955 2.0955 5.5161
2.0955 -2.0955 5.5161
2.0955 2.0955 -5.5161
Ac Mo P Ru
1 1 2 1
direct
0.0000 0.0000 0.0000
0.7500 0.2500 0.5000
0.3523 0.3523 0.0000
0.6477 0.6477 0.0000
0.2500 0.7500 0.5000

---

AcMoPt PBE-GGA relaxed; calculated formation energy = -0.07 eV/atom; space-group type = P4/mmm; crystal system = tetragonal; M_tot = 0.00 μB per cell
1.0
3.7072 0.0000 0.0000
0.0000 3.7072 0.0000
0.0000 0.0000 10.4147
Ac Mo Pt
2 2 2
direct
0.0000 0.0000 0.1794
0.0000 0.0000 0.8206
0.5000 0.5000 0.3941
0.5000 0.5000 0.6059
0.0000 0.0000 0.5000
0.5000 0.5000 0.0000

---

Rb3Ac3MoS8 PBE-GGA relaxed; space-group type = R-3m; crystal system = trigonal; ΔE_f (raw) = -1.507 eV/atom; M_tot = 2.00 μB per cell
1.0
4.2586 2.4587 7.8487
-4.2586 2.4587 7.8487
0.0000 -4.9174 7.8487
Rb Ac Mo S
3 3 1 8
direct
0.0000 0.5000 0.5000
0.5000 0.0000 0.5000
0.5000 0.5000 0.0000
0.0000 0.0000 0.5000
0.0000 0.5000 0.0000
0.5000 0.0000 0.0000
0.5000 0.5000 0.5000
0.2363 0.2363 0.2363
0.2733 0.7038 0.7038
0.2962 0.2962 0.7267
0.2962 0.7267 0.2962
0.7038 0.2733 0.7038
0.7038 0.7038 0.2733
0.7267 0.2962 0.2962
0.7637 0.7637 0.7637

---

AcReSi2Mo PBE-GGA relaxed; space-group type = I-4m2; crystal system = tetragonal; ΔE_f (raw) = -0.351 eV/atom; M_tot = 0.00 μB per cell
1.0
-2.0897 2.0897 5.6147
2.0897 -2.0897 5.6147
2.0897 2.0897 -5.6147
Ac Re Si Mo
1 1 2 1
direct
0.0000 0.0000 0.0000
0.2500 0.7500 0.5000
0.3735 0.3735 0.0000
0.6265 0.6265 0.0000
0.7500 0.2500 0.5000

---

AcMo6S8 PBE-GGA relaxed; space-group type = R-3; crystal system = trigonal; ΔE_f (raw) = -0.959 eV/atom; M_tot = 0.00 μB per cell
1.0
4.6279 2.6719 3.9095
-4.6279 2.6719 3.9095
0.0000 -5.3438 3.9095
Ac Mo S
1 6 8
direct
0.0000 0.0000 0.0000
0.2299 0.5638 0.4200
0.4200 0.2299 0.5638
0.4362 0.5800 0.7701
0.5638 0.4200 0.2299
0.5800 0.7701 0.4362
0.7701 0.4362 0.5800
0.1262 0.3793 0.7434
0.2481 0.2481 0.2481
0.2566 0.8738 0.6207
0.3793 0.7434 0.1262
0.6207 0.2566 0.8738
0.7434 0.1262 0.3793
0.7519 0.7519 0.7519
0.8738 0.6207 0.2566

---

AcMoS4 PBE-GGA relaxed; space-group type = Cmc2_1; crystal system = orthorhombic; ΔE_f (raw) = -1.047 eV/atom; M_tot = 0.00 μB per cell
1.0
2.3691 -8.6100 0.0000
2.3691 8.6100 0.0000
0.0000 0.0000 6.8998
Ac Mo S
2 2 8
direct
0.1516 0.8484 0.5000
0.8484 0.1516 0.0000
0.4062 0.5938 0.5685
0.5938 0.4062 0.0685
0.0916 0.9084 0.0839
0.2902 0.7098 0.7799
0.3415 0.6585 0.2862
0.4643 0.5357 0.9451
0.5357 0.4643 0.4451
0.6585 0.3415 0.7862
0.7098 0.2902 0.2799
0.9084 0.0916 0.5839

---

AcMoS2 PBE-GGA relaxed; space-group type = R-3m; crystal system = trigonal; ΔE_f (raw) = -0.390 eV/atom; M_tot = 0.51 μB per cell
1.0
1.7440 1.0069 8.9258
-1.7440 1.0069 8.9258
0.0000 -2.0137 8.9258
Ac Mo S
1 1 2
direct
0.0000 0.0000 0.0000
0.5000 0.5000 0.5000
0.1117 0.1117 0.1117
0.8883 0.8883 0.8883

---

Ac2MoS6 PBE-GGA relaxed; space-group type = P2_1/c; crystal system = monoclinic; ΔE_f (raw) = -1.315 eV/atom; M_tot = 0.00 μB per cell
1.0
6.3129 0.0000 0.0000
0.0000 7.6580 0.0000
-5.9811 0.0000 9.1423
Ac Mo S
4 2 12
direct
0.2121 0.1052 0.2588
0.2121 0.3948 0.7588
0.7879 0.6052 0.2412
0.7879 0.8948 0.7412
0.5000 0.0000 0.0000
0.5000 0.5000 0.5000
0.1346 0.1605 0.9588
0.1346 0.3395 0.4588
0.2938 0.7182 0.9566
0.2938 0.7818 0.4566
0.3252 0.0182 0.7431
0.3252 0.4818 0.2431
0.6748 0.5182 0.7569
0.6748 0.9818 0.2569
0.7062 0.2182 0.5434
0.7062 0.2818 0.0434
0.8654 0.6605 0.5412
0.8654 0.8395 0.0412

---

AcSc2Mo PBE-GGA relaxed; calculated formation energy = 0.43 eV/atom; space-group type = R-3m; crystal system = trigonal; M_tot = 0.00 μB per cell
1.0
1.6984 0.9806 10.7955
-1.6984 0.9806 10.7955
0.0000 -1.9612 10.7955
Ac Sc Mo
1 2 1
direct
0.0000 0.0000 0.0000
0.1071 0.1071 0.1071
0.8929 0.8929 0.8929
0.5000 0.5000 0.5000

---

Ac2MoSe6 PBE-GGA relaxed; space-group type = P2_1/c; crystal system = monoclinic; ΔE_f (raw) = -1.173 eV/atom; M_tot = 0.53 μB per cell
1.0
6.4557 0.0000 0.0000
0.0000 7.9438 0.0000
-6.1731 0.0000 9.6297
Ac Mo Se
4 2 12
direct
0.2036 0.1062 0.2590
0.2036 0.3938 0.7590
0.7964 0.6062 0.2410
0.7964 0.8938 0.7410
0.5000 0.0000 0.0000
0.5000 0.5000 0.5000
0.1248 0.1667 0.9605
0.1248 0.3333 0.4605
0.2934 0.7132 0.9612
0.2934 0.7868 0.4612
0.3155 0.0137 0.7389
0.3155 0.4863 0.2389
0.6845 0.5137 0.7611
0.6845 0.9863 0.2611
0.7066 0.2132 0.5388
0.7066 0.2868 0.0388
0.8752 0.6667 0.5395
0.8752 0.8333 0.0395

---

AcTaSi2Mo PBE-GGA relaxed; space-group type = I-4m2; crystal system = tetragonal; ΔE_f (raw) = -0.445 eV/atom; M_tot = 0.00 μB per cell
1.0
-2.0786 2.0786 5.8835
2.0786 -2.0786 5.8835
2.0786 2.0786 -5.8835
Ac Ta Si Mo
1 1 2 1
direct
0.0000 0.0000 0.0000
0.2500 0.7500 0.5000
0.3860 0.3860 0.0000
0.6140 0.6140 0.0000
0.7500 0.2500 0.5000

---

AcSi2TcMo PBE-GGA relaxed; space-group type = I-4m2; crystal system = tetragonal; ΔE_f (raw) = -0.425 eV/atom; M_tot = 0.00 μB per cell
1.0
-2.0988 2.0988 5.5731
2.0988 -2.0988 5.5731
2.0988 2.0988 -5.5731
Ac Si Tc Mo
1 2 1 1
direct
0.0000 0.0000 0.0000
0.3731 0.3731 0.0000
0.6269 0.6269 0.0000
0.2500 0.7500 0.5000
0.7500 0.2500 0.5000

---

AcTi2Mo PBE-GGA relaxed; calculated formation energy = 0.53 eV/atom; space-group type = R-3m; crystal system = trigonal; M_tot = 0.00 μB per cell
1.0
1.6063 0.9274 10.0685
-1.6063 0.9274 10.0685
0.0000 -1.8548 10.0685
Ac Ti Mo
1 2 1
direct
0.0000 0.0000 0.0000
0.1048 0.1048 0.1048
0.8952 0.8952 0.8952
0.5000 0.5000 0.5000

---

AcZr2Mo PBE-GGA relaxed; calculated formation energy = 0.44 eV/atom; space-group type = R-3m; crystal system = trigonal; ΔE to the lowest computed polymorph = 283 meV per atom; M_tot = 0.00 μB per cell
1.0
1.6782 0.9689 10.6735
-1.6782 0.9689 10.6735
0.0000 -1.9378 10.6735
Ac Zr Mo
1 2 1
direct
0.0000 0.0000 0.0000
0.1043 0.1043 0.1043
0.8957 0.8957 0.8957
0.5000 0.5000 0.5000

---

AcZr2Mo PBE-GGA relaxed; calculated formation energy = 0.16 eV/atom; space-group type = P4/mmm; crystal system = tetragonal; ΔE to the lowest computed polymorph = 0 meV per atom; M_tot = 0.00 μB per cell
1.0
3.4638 0.0000 0.0000
0.0000 3.4638 0.0000
0.0000 0.0000 8.4195
Ac Zr Mo
1 2 1
direct
0.0000 0.0000 0.0000
0.5000 0.5000 0.3172
0.5000 0.5000 0.6828
0.0000 0.0000 0.5000

---

Ac5N4 PBE-GGA relaxed; space-group type = I4/m; crystal system = tetragonal; ΔE_f (raw) = -0.952 eV/atom; ΔE to the lowest computed polymorph = 0 meV per atom; M_tot = 0.00 μB per cell
1.0
-4.3648 4.3648 2.7790
4.3648 -4.3648 2.7790
4.3648 4.3648 -2.7790
Ac N
5 4
direct
0.0000 0.0000 0.0000
0.1891 0.3932 0.5822
0.3932 0.8109 0.2041
0.6068 0.1891 0.7959
0.8109 0.6068 0.4178
0.0918 0.7006 0.7924
0.2994 0.0918 0.3912
0.7006 0.9082 0.6088
0.9082 0.2994 0.2076

---

Ac3N PBE-GGA relaxed; space-group type = Imm2; crystal system = orthorhombic; ΔE_f (raw) = -0.263 eV/atom; ΔE to the lowest computed polymorph = 0 meV per atom; M_tot = 0.00 μB per cell
1.0
-1.8100 5.5576 3.3140
1.8100 -5.5576 3.3140
1.8100 5.5576 -3.3140
Ac N
3 1
direct
0.0000 0.0000 0.0000
0.3761 0.5362 0.8399
0.6963 0.5362 0.1601
0.7291 0.2291 0.5000

---

Ac3N PBE-GGA relaxed; space-group type = I4/mmm; crystal system = tetragonal; ΔE_f (raw) = 0.904 eV/atom; ΔE to the lowest computed polymorph = 1167 meV per atom; M_tot = 0.00 μB per cell
1.0
-2.4038 2.4038 5.5459
2.4038 -2.4038 5.5459
2.4038 2.4038 -5.5459
Ac N
3 1
direct
0.0000 0.0000 0.0000
0.2500 0.7500 0.5000
0.7500 0.2500 0.5000
0.5000 0.5000 0.0000

---

Ac2N PBE-GGA relaxed; space-group type = I4_1md; crystal system = tetragonal; ΔE_f (raw) = -0.638 eV/atom; ΔE to the lowest computed polymorph = 18 meV per atom; M_tot = 3.09 μB per cell
1.0
-3.9800 3.9800 5.6188
3.9800 -3.9800 5.6188
3.9800 3.9800 -5.6188
Ac N
8 4
direct
0.2093 0.4797 0.7296
0.2297 0.0000 0.2297
0.2297 0.0002 0.7704
0.2297 0.4593 0.2296
0.7500 0.0203 0.2703
0.7502 0.4797 0.2704
0.7500 0.4797 0.7297
0.7703 0.0000 0.7703
0.4902 0.2397 0.2504
0.9893 0.2397 0.7496
0.9897 0.2393 0.2496
0.9897 0.7402 0.7504

---

AcN PBE-GGA relaxed; space-group type = Fm-3m; crystal system = cubic; ΔE_f (raw) = -1.062 eV/atom; ΔE to the lowest computed polymorph = 33 meV per atom; M_tot = 0.00 μB per cell
1.0
0.0000 2.7684 2.7684
2.7684 0.0000 2.7684
2.7684 2.7684 0.0000
Ac N
1 1
direct
0.0000 0.0000 0.0000
0.5000 0.5000 0.5000

---

Ac5N4 PBE-GGA relaxed; space-group type = I4/mmm; crystal system = tetragonal; ΔE_f (raw) = -0.151 eV/atom; ΔE to the lowest computed polymorph = 801 meV per atom; M_tot = 0.00 μB per cell
1.0
-5.8447 5.8447 1.6960
5.8447 -5.8447 1.6960
5.8447 5.8447 -1.6960
Ac N
5 4
direct
0.0000 0.0000 0.0000
0.0000 0.2560 0.2560
0.0000 0.7440 0.7440
0.2560 0.0000 0.2560
0.7440 0.0000 0.7440
0.3669 0.3669 0.7338
0.3669 0.6331 0.0000
0.6331 0.3669 0.0000
0.6331 0.6331 0.2662

---

Ac2N PBE-GGA relaxed; space-group type = C2/m; crystal system = monoclinic; ΔE_f (raw) = -0.656 eV/atom; ΔE to the lowest computed polymorph = 0 meV per atom; M_tot = 0.50 μB per cell
1.0
3.3589 -1.9400 0.0000
3.3589 1.9400 0.0000
-2.2106 0.0000 6.9065
Ac N
2 1
direct
0.2378 0.2378 0.2162
0.7622 0.7622 0.7838
0.5000 0.5000 0.0000

---

AcN PBE-GGA relaxed; space-group type = P6_3mc; crystal system = hexagonal; ΔE_f (raw) = -1.095 eV/atom; ΔE to the lowest computed polymorph = 0 meV per atom; M_tot = 0.00 μB per cell
1.0
4.2705 0.0000 0.0000
-2.1352 3.6983 0.0000
0.0000 0.0000 6.3559
Ac N
2 2
direct
0.3333 0.6667 0.0000
0.6667 0.3333 0.5000
0.3333 0.6667 0.4021
0.6667 0.3333 0.9021

---

AcN PBE-GGA relaxed; space-group type = P6_3/mmc; crystal system = hexagonal; ΔE_f (raw) = -1.045 eV/atom; ΔE to the lowest computed polymorph = 50 meV per atom; M_tot = 0.00 μB per cell
1.0
3.7700 0.0000 0.0000
-1.8850 3.2649 0.0000
0.0000 0.0000 6.5793
Ac N
2 2
direct
0.3333 0.6667 0.2500
0.6667 0.3333 0.7500
0.0000 0.0000 0.0000
0.0000 0.0000 0.5000

---

no.,V (Å³/atom)
1,19.5
2,21.6
3,19.4
4,23.9
5,32.9
6,19.6
7,19.3
8,23.5
9,23.5
10,24.6
11,27.0
12,27.4
13,20.3
14,19.6
15,22.5
16,26.0
17,25.3
18,23.5
19,33.3
20,32.0
21,29.7
22,21.2
23,25.7
24,30.0
25,25.1
26,20.2